{
  "formula": "Pm5Sn4Ru",
  "functional": "PBE",
  "state": "relaxed",
  "formation_energy_ev_per_fu": -5.78,
  "magmom_total_mub_per_cell": 0.0,
  "sg": "P4/mmm",
  "lattice_angstrom": [[3.494, 0.000, 0.000], [0.000, 3.494, 0.000], [0.000, 0.000, 21.998]],
  "species": ["Pm", "Pm", "Pm", "Pm", "Pm", "Sn", "Sn", "Sn", "Sn", "Ru"],
  "fractional_positions": [[0.000, 0.000, 0.000], [0.000, 0.000, 0.207], [0.000, 0.000, 0.422], [0.000, 0.000, 0.578], [0.000, 0.000, 0.793], [0.500, 0.500, 0.104], [0.500, 0.500, 0.311], [0.500, 0.500, 0.689], [0.500, 0.500, 0.896], [0.500, 0.500, 0.500]]
}

---

{
  "formula": "Tl2HgIr",
  "functional": "PBE",
  "state": "relaxed",
  "formation_energy_ev_per_fu": 1.01,
  "magmom_total_mub_per_cell": 0.0,
  "sg": "Amm2",
  "lattice_angstrom": [[3.150, 0.000, 0.000], [0.000, 2.269, 7.079], [0.000, -2.269, 7.079]],
  "species": ["Tl", "Tl", "Hg", "Ir"],
  "fractional_positions": [[0.000, 0.000, 0.000], [0.500, 0.311, 0.311], [0.000, 0.681, 0.681], [0.500, 0.509, 0.509]]
}

---

Please write out number 2 again, unchanged.
{
  "formula": "Tl2HgIr",
  "functional": "PBE",
  "state": "relaxed",
  "formation_energy_ev_per_fu": 1.01,
  "magmom_total_mub_per_cell": 0.0,
  "sg": "Amm2",
  "lattice_angstrom": [[3.150, 0.000, 0.000], [0.000, 2.269, 7.079], [0.000, -2.269, 7.079]],
  "species": ["Tl", "Tl", "Hg", "Ir"],
  "fractional_positions": [[0.000, 0.000, 0.000], [0.500, 0.311, 0.311], [0.000, 0.681, 0.681], [0.500, 0.509, 0.509]]
}

---

Copy entry 1 word for word.
{
  "formula": "Pm5Sn4Ru",
  "functional": "PBE",
  "state": "relaxed",
  "formation_energy_ev_per_fu": -5.78,
  "magmom_total_mub_per_cell": 0.0,
  "sg": "P4/mmm",
  "lattice_angstrom": [[3.494, 0.000, 0.000], [0.000, 3.494, 0.000], [0.000, 0.000, 21.998]],
  "species": ["Pm", "Pm", "Pm", "Pm", "Pm", "Sn", "Sn", "Sn", "Sn", "Ru"],
  "fractional_positions": [[0.000, 0.000, 0.000], [0.000, 0.000, 0.207], [0.000, 0.000, 0.422], [0.000, 0.000, 0.578], [0.000, 0.000, 0.793], [0.500, 0.500, 0.104], [0.500, 0.500, 0.311], [0.500, 0.500, 0.689], [0.500, 0.500, 0.896], [0.500, 0.500, 0.500]]
}